# MnAlTcSn

An optimized crystal structure of MnAlTcSn (GGA-PBE, Alexandria via LeMat-Bulk).

Output
Fermi-level density of states = 2.1 states/eV/cell
Size of the total moment = 2.69 μB per cell
Crystal system = cubic
Formation enthalpy at 0 K = -0.004 eV/atom
Space-group type = F-43m, No. 216

Cell lengths 4.4392, 4.4392, 4.4392 Å; angles 60.00, 60.00, 60.00 degrees
Last column: nearest neighbours and their distance in Å.
Fractional coordinates of all 4 atoms:
Al 0.5000 0.5000 0.5000  4 Tc 2.72, 4 Mn 2.72
Mn 0.7500 0.7500 0.7500  4 Sn 2.72, 4 Al 2.72
Sn 0.0000 0.0000 0.0000  4 Mn 2.72, 4 Tc 2.72
Tc 0.2500 0.2500 0.2500  4 Sn 2.72, 4 Al 2.72



# AcPa6Se8

An optimized crystal structure of AcPa6Se8 (GGA-PBE, Alexandria via LeMat-Bulk).

Output
Fermi-level density of states = 22.9 states/eV/cell
Size of the total moment = 8.92 μB per cell
Crystal system = trigonal
Space-group type = R-3, No. 148
Raw formation energy = -1.03 eV/atom

Cell lengths 7.5867, 7.5867, 7.5867 Å; angles 78.50, 78.50, 78.50 degrees
Last column: nearest neighbours and their distance in Å.
Fractional coordinates of all 15 atoms:
Ac 0.0000 0.0000 0.0000  6 Se 3.07
Pa 0.5508 0.3882 0.8182  5 Se 2.89-3.03
Pa 0.3882 0.8182 0.5508  5 Se 2.89-3.03
Pa 0.8182 0.5508 0.3882  5 Se 2.89-3.03
Pa 0.4492 0.6118 0.1818  5 Se 2.89-3.03
Pa 0.6118 0.1818 0.4492  5 Se 2.89-3.03
Pa 0.1818 0.4492 0.6118  5 Se 2.89-3.03
Se 0.7184 0.7184 0.7184  3 Pa 2.93
Se 0.2816 0.2816 0.2816  3 Pa 2.93
Se 0.6302 0.9057 0.2050  4 Pa 2.89-3.03, 1 Ac 3.07
Se 0.9057 0.2050 0.6302  4 Pa 2.89-3.03, 1 Ac 3.07
Se 0.2050 0.6302 0.9057  4 Pa 2.89-3.03, 1 Ac 3.07
Se 0.3698 0.0943 0.7950  4 Pa 2.89-3.03, 1 Ac 3.07
Se 0.0943 0.7950 0.3698  4 Pa 2.89-3.03, 1 Ac 3.07
Se 0.7950 0.3698 0.0943  4 Pa 2.89-3.03, 1 Ac 3.07



# BaFe2Re

An optimized crystal structure of BaFe2Re (GGA-PBE, Alexandria via LeMat-Bulk).

Output
Fermi-level density of states = 3.9 states/eV/cell
Size of the total moment = 4.00 μB per cell
Offset from the most stable computed form = 242 meV per atom
Crystal system = tetragonal
Formation enthalpy at 0 K = 0.713 eV/atom
Space-group type = P4mm, No. 99

Cell lengths 3.1301, 3.1301, 7.7565 Å; angles 90.00, 90.00, 90.00 degrees
Last column: nearest neighbours and their distance in Å.
Fractional coordinates of all 4 atoms:
Ba 0.5000 0.5000 0.7509  4 Ba 3.13, 4 Fe 3.47, 4 Re 3.47
Fe 0.0000 0.0000 0.0953  1 Re 2.41, 4 Fe 2.51
Fe 0.5000 0.5000 0.2475  4 Fe 2.51, 4 Re 2.53
Re 0.0000 0.0000 0.4063  5 Fe 2.41-2.53



What did we get for ρ? Answer: 8.02, 9.02, 9.51 g/cm3, in the order shown.